DFT (GGA-PBE) results for crystalline Ta2Ga2Ni at its relaxed geometry.

Calculated values
Calculated total energy in eV/atom: -7.2613
Total moment in μB/cell: 0.00
Formation enthalpy at 0 K in meV per atom: -153

Cell: 6.158 6.158 4.109 Å, 90.00 90.00 90.00°
Atoms (fractional coordinates):
Ta1 0.336 0.164 0.500
Ta2 0.664 0.836 0.500
Ni1 0.500 0.500 0.000
Ga1 0.642 0.142 0.000
Ni2 0.000 0.000 0.000
Ta3 0.836 0.336 0.500
Ga2 0.858 0.642 0.000
Ta4 0.164 0.664 0.500
Ga3 0.358 0.858 0.000
Ga4 0.142 0.358 0.000